A plane-wave DFT calculation with PBE was carried out for a geometry-optimized LuZr2O structure.

The uncorrected formation energy comes out at -4.64 eV per formula unit. The value obtained for the density of states at the Fermi level is 1.4073 states/eV per atom. The magnetic moment is 0.000 μB per cell.

Cell lengths 8.2807, 8.2807, 8.2807 Å; angles 23.25, 23.25, 23.25 degrees
Atoms (fractional coordinates):
Lu (0.0000, 0.0000, 0.0000)
Zr (0.2202, 0.2202, 0.2202)
Zr (0.7798, 0.7798, 0.7798)
O (0.5000, 0.5000, 0.5000)